1.
PmNdGa2, relaxed, DFT GGA-PBE; N(E_F) = 2.01 states/eV/f.u.; symmetry = P4/mmm (123); ΔH_f (0 K) = -565 meV per atom; relative energy among the computed polymorphs = 0.029 eV per atom
1.0
-0.404 -0.908 -3.546
-2.534 -2.506 0.930
-5.285 5.085 -0.699
Nd Ga Pm
1 2 1
direct
0.500 0.500 0.500 Nd
0.000 0.000 0.753 Ga
0.000 0.000 0.247 Ga
0.500 0.500 0.000 Pm

2.
In2AsAu, relaxed, DFT GGA-PBE; N(E_F) = 1.80 states/eV/f.u.; symmetry = P4/mmm (123); ΔH_f (0 K) = -99 meV per atom; relative energy among the computed polymorphs = 0.007 eV per atom
1.0
4.066 0.000 0.000
0.000 4.064 0.000
0.000 0.000 5.753
As Au In
1 1 2
direct
0.000 0.000 0.375 As
0.500 0.500 0.875 Au
0.000 0.000 0.875 In
0.500 0.500 0.375 In

3.
Sc4AgIrPd2, relaxed, DFT GGA-PBE; N(E_F) = 5.71 states/eV/f.u.; symmetry = R-3m (166); ΔH_f (0 K) = -790 meV per atom
1.0
-3.669 -0.555 2.868
-0.460 -3.952 2.482
2.648 1.645 7.541
Sc Ag Ir Pd
4 1 1 2
direct
0.380 0.380 0.859 Sc
0.871 0.871 0.387 Sc
0.129 0.129 0.613 Sc
0.620 0.620 0.141 Sc
0.000 0.000 0.000 Ag
0.500 0.500 0.500 Ir
0.750 0.750 0.751 Pd
0.250 0.250 0.249 Pd

4.
CdHg2Bi, relaxed, DFT GGA-PBE; N(E_F) = 2.72 states/eV/f.u.; symmetry = R-3m (166); ΔH_f (0 K) = 56 meV per atom
1.0
3.398 0.000 0.000
1.699 2.943 0.000
1.699 0.981 11.087
Cd Hg Bi
1 2 1
direct
0.500 0.500 0.500 Cd
0.092 0.092 0.724 Hg
0.908 0.908 0.276 Hg
0.000 0.000 0.000 Bi

5.
Cs2PBr7, relaxed, DFT GGA-PBE; formation energy without anion corrections = -8.4 eV per formula unit; N(E_F) = 0.26 states/eV/f.u.; symmetry = I4/mmm (139)
1.0
8.003 0.000 0.000
0.000 8.003 0.000
4.001 4.001 5.650
Cs P Br
2 1 7
direct
0.750 0.250 0.500 Cs
0.250 0.750 0.500 Cs
0.500 0.500 0.000 P
0.000 0.000 0.000 Br
0.284 0.284 0.433 Br
0.716 0.716 0.567 Br
0.284 0.284 0.000 Br
0.716 0.716 0.000 Br
0.716 0.284 0.000 Br
0.284 0.716 0.000 Br

6.
PrDyHoZn, relaxed, DFT GGA-PBE; N(E_F) = 4.79 states/eV/f.u.; symmetry = P4mm (99); ΔH_f (0 K) = -163 meV per atom; relative energy among the computed polymorphs = 0.000 eV per atom
1.0
3.590 0.000 0.000
0.000 3.590 0.000
0.000 0.000 8.745
Pr Dy Ho Zn
1 1 1 1
direct
0.000 0.000 0.072 Pr
0.500 0.500 0.772 Dy
0.500 0.500 0.371 Ho
0.000 0.000 0.570 Zn

7.
Mg5AgHg4, relaxed, DFT GGA-PBE; N(E_F) = 2.74 states/eV/f.u.; symmetry = P4/mmm (123); ΔH_f (0 K) = -219 meV per atom
1.0
-3.264 -0.143 -1.099
-0.433 -2.982 1.674
-5.167 8.725 14.204
Mg Ag Hg
5 1 4
direct
0.500 0.500 0.092 Mg
0.500 0.500 0.298 Mg
0.500 0.500 0.500 Mg
0.500 0.500 0.702 Mg
0.500 0.500 0.908 Mg
0.000 0.000 0.000 Ag
0.000 0.000 0.194 Hg
0.000 0.000 0.399 Hg
0.000 0.000 0.601 Hg
0.000 0.000 0.806 Hg

8.
RbRe3Pt, relaxed, DFT GGA-PBE; N(E_F) = 5.18 states/eV/f.u.; symmetry = Pm-3m (221); ΔH_f (0 K) = 4041 meV per atom; relative energy among the computed polymorphs = 1.548 eV per atom
1.0
4.607 0.000 0.000
0.000 4.607 0.000
0.000 0.000 4.607
Re Rb Pt
3 1 1
direct
0.000 0.500 0.000 Re
0.000 0.000 0.500 Re
0.500 0.000 0.000 Re
0.000 0.000 0.000 Rb
0.500 0.500 0.500 Pt

9.
ErPu2As3, relaxed, DFT GGA-PBE; N(E_F) = 20.24 states/eV/f.u.; symmetry = Fddd (70); ΔH_f (0 K) = -1186 meV per atom
1.0
7.008 0.027 -1.296
-2.686 6.473 -1.296
-0.006 -0.009 13.020
Er Pu As
4 8 12
direct
0.917 0.917 0.833 Er
0.333 0.833 0.667 Er
0.167 0.667 0.333 Er
0.083 0.083 0.167 Er
0.000 0.500 0.000 Pu
0.417 0.417 0.833 Pu
0.833 0.333 0.667 Pu
0.250 0.250 0.500 Pu
0.750 0.750 0.500 Pu
0.667 0.167 0.333 Pu
0.583 0.583 0.167 Pu
0.500 0.000 0.000 Pu
0.167 0.667 0.833 As
0.667 0.167 0.833 As
0.083 0.083 0.667 As
0.583 0.583 0.667 As
0.000 0.500 0.500 As
0.500 0.000 0.500 As
0.417 0.417 0.333 As
0.917 0.917 0.333 As
0.833 0.333 0.167 As
0.333 0.833 0.167 As
0.250 0.250 0.000 As
0.750 0.750 0.000 As

10.
ErCoSi3Rh, relaxed, DFT GGA-PBE; formation energy without anion corrections = -2.9 eV per formula unit; N(E_F) = 3.18 states/eV/f.u.; symmetry = Cmcm (63)
1.0
-0.210 4.455 3.216
-1.920 -3.416 4.607
6.990 0.711 -0.530
Er Co Si Rh
2 2 6 2
direct
0.750 0.194 0.388 Er
0.250 0.806 0.612 Er
0.250 0.040 0.081 Co
0.750 0.960 0.919 Co
0.250 0.207 0.414 Si
0.000 0.287 0.000 Si
0.500 0.713 0.000 Si
0.500 0.287 0.000 Si
0.000 0.713 0.000 Si
0.750 0.793 0.586 Si
0.250 0.382 0.764 Rh
0.750 0.618 0.236 Rh

11.
CaMnTcP2, relaxed, DFT GGA-PBE; N(E_F) = 2.45 states/eV/f.u.; symmetry = I-4m2 (119); ΔH_f (0 K) = -765 meV per atom
1.0
3.970 0.000 0.000
0.000 3.970 0.000
-1.985 -1.985 5.124
Ca Mn Tc P
1 1 1 2
direct
0.000 0.000 0.000 Ca
0.750 0.250 0.500 Mn
0.250 0.750 0.500 Tc
0.627 0.627 0.255 P
0.373 0.373 0.745 P

12.
NiAgW2, relaxed, DFT GGA-PBE; N(E_F) = 2.74 states/eV/f.u.; symmetry = Pm (6); ΔH_f (0 K) = 402 meV per atom; relative energy among the computed polymorphs = 0.147 eV per atom
1.0
4.333 0.000 0.000
0.000 2.662 0.004
0.000 0.671 5.262
Ag Ni W
1 1 2
direct
0.000 0.640 0.502 Ag
0.500 0.617 0.772 Ni
0.000 0.007 0.977 W
0.500 0.236 0.249 W